{
  "formula": "MgTa2MnTl",
  "functional": "SCAN",
  "state": "single point on PBEsol structure",
  "crystal_system": "tetragonal",
  "m_tot_mub_per_cell": 2.821,
  "energy_ha_per_atom": -1.621,
  "vol_a3_per_atom": 20.1,
  "lattice_angstrom": [[4.422, 0.000, 0.000], [0.000, 4.762, 0.000], [0.000, 0.000, 4.762]],
  "species": ["Ta", "Ta", "Tl", "Mg", "Mn"],
  "frac_coords": [[0.000, 0.000, 0.500], [0.000, 0.500, 0.000], [0.500, 0.500, 0.500], [0.000, 0.000, 0.000], [0.500, 0.000, 0.000]]
}

{
  "formula": "MgMnTc2",
  "functional": "SCAN",
  "state": "single point on PBEsol structure",
  "crystal_system": "tetragonal",
  "m_tot_mub_per_cell": 2.580,
  "energy_ha_per_atom": -0.853,
  "vol_a3_per_atom": 14.0,
  "lattice_angstrom": [[-1.033, 0.856, -3.404], [-3.459, -0.851, 0.836], [1.567, 3.931, 2.480]],
  "species": ["Mn", "Mg", "Tc", "Tc"],
  "frac_coords": [[0.000, 0.000, 0.000], [0.500, 0.500, 0.000], [0.250, 0.750, 0.500], [0.750, 0.250, 0.500]]
}

{
  "formula": "MgMnTc2",
  "functional": "SCAN",
  "state": "single point on PBEsol structure",
  "crystal_system": "tetragonal",
  "m_tot_mub_per_cell": 3.307,
  "energy_ha_per_atom": -0.853,
  "vol_a3_per_atom": 14.2,
  "lattice_angstrom": [[-3.483, 0.660, 0.916], [-0.551, -3.586, 0.492], [1.141, 0.382, 4.064]],
  "species": ["Mg", "Tc", "Tc", "Mn"],
  "frac_coords": [[0.500, 0.500, 0.500], [0.000, 0.500, 0.000], [0.500, 0.000, 0.000], [0.000, 0.000, 0.500]]
}

{
  "formula": "MgMnTc2",
  "functional": "SCAN",
  "state": "single point on PBEsol structure",
  "crystal_system": "cubic",
  "m_tot_mub_per_cell": 3.718,
  "energy_ha_per_atom": -0.856,
  "vol_a3_per_atom": 13.6,
  "lattice_angstrom": [[-3.747, -1.573, 1.268], [-0.756, -4.181, -0.274], [-0.232, -2.358, 3.537]],
  "species": ["Tc", "Tc", "Mn", "Mg"],
  "frac_coords": [[0.000, 0.000, 0.000], [0.250, 0.250, 0.250], [0.750, 0.750, 0.750], [0.500, 0.500, 0.500]]
}

The calculation returns the following calculated formation energy values, one per record and in order: 8.1, 0.5, 0.5, 0.2 eV/f.u..